{
  "formula": "Ce2FeIr",
  "functional": "PBE",
  "state": "relaxed",
  "dos_at_fermi_per_ev_atom": 1.0330,
  "volume_a3_per_atom": 18.225,
  "formation_enthalpy_0k_mev_per_atom": 141,
  "energy_ev_per_atom": -7.1565,
  "magnetic_moment_mub_per_cell": 0.9,
  "sg": "R-3m, No. 166",
  "lattice": [[2.941, 0.000, 0.000], [1.471, 2.547, 0.000], [1.471, 0.849, 9.731]],
  "species": ["Ce", "Fe", "Ce", "Ir"],
  "frac_coords": [[0.920, 0.920, 0.240], [0.000, 0.000, 0.000], [0.080, 0.080, 0.760], [0.500, 0.500, 0.500]]
}